No. 1
The following is a DFT calculation (PBE) of a relaxed structure of LaHo2Co6.

Geometry as POSCAR:
```
LaHo2Co6
1.0
6.711 0.000 0.000
-3.356 5.812 0.000
0.000 0.000 4.096
La Ho Co
1 2 6
Direct
0.000 0.000 0.000
0.333 0.667 0.000
0.667 0.333 0.000
0.000 0.336 0.500
0.000 0.664 0.500
0.336 0.000 0.500
0.336 0.336 0.500
0.664 0.000 0.500
0.664 0.664 0.500
```

Properties
* total magnetic moment: 4.30 μB per cell
* electronic total energy: -6.441 eV/atom
* space group: No. 191
* formation energy: -0.139 eV per atom

=====

No. 2
The following is a DFT calculation (PBE) of a relaxed structure of La5HoCo3.

Geometry as POSCAR:
```
La5HoCo3
1.0
6.191 -4.661 0.000
6.191 4.661 0.000
-4.185 0.000 9.208
La Ho Co
10 2 6
Direct
0.063 0.063 0.370
0.140 0.527 0.326
0.196 0.804 0.000
0.397 0.397 0.707
0.473 0.860 0.674
0.527 0.140 0.326
0.603 0.603 0.293
0.804 0.196 0.000
0.860 0.473 0.674
0.937 0.937 0.630
0.268 0.268 0.964
0.732 0.732 0.036
0.165 0.165 0.668
0.168 0.168 0.163
0.500 0.500 0.000
0.500 0.500 0.500
0.832 0.832 0.837
0.835 0.835 0.332
```

Properties
* total magnetic moment: 0.00 μB per cell
* electronic total energy: -5.723 eV/atom
* space group: No. 12
* formation energy: -0.108 eV per atom

=====

No. 3
The following is a DFT calculation (PBE) of a relaxed structure of LaHo3Co2.

Geometry as POSCAR:
```
LaHo3Co2
1.0
8.314 -1.875 0.000
8.314 1.875 0.000
-6.904 0.000 9.680
La Ho Co
2 6 4
Direct
0.158 0.158 0.251
0.842 0.842 0.749
0.156 0.156 0.750
0.413 0.413 0.062
0.417 0.417 0.551
0.583 0.583 0.449
0.587 0.587 0.938
0.844 0.844 0.250
0.234 0.234 0.045
0.238 0.238 0.556
0.762 0.762 0.444
0.766 0.766 0.955
```

Properties
* total magnetic moment: 0.00 μB per cell
* electronic total energy: -5.615 eV/atom
* space group: No. 12
* formation energy: -0.136 eV per atom

=====

No. 4
The following is a DFT calculation (PBE) of a relaxed structure of LaHo2Co2.

Geometry as POSCAR:
```
LaHo2Co2
1.0
5.663 -1.953 0.000
5.663 1.953 0.000
-1.643 0.000 5.308
La Ho Co
1 2 2
Direct
0.000 0.000 0.000
0.339 0.339 0.384
0.661 0.661 0.616
0.300 0.300 0.877
0.700 0.700 0.123
```

Properties
* total magnetic moment: 0.00 μB per cell
* electronic total energy: -5.726 eV/atom
* space group: No. 12
* formation energy: -0.067 eV per atom
* energy above the most stable polymorph in this dataset: 23 meV/atom

=====

No. 5
The following is a DFT calculation (PBE) of a relaxed structure of LaHo2Co2.

Geometry as POSCAR:
```
LaHo2Co2
1.0
7.238 0.000 0.000
0.000 7.238 0.000
0.000 0.000 4.253
La Ho Co
2 4 4
Direct
0.000 0.000 0.000
0.500 0.500 0.000
0.167 0.333 0.500
0.333 0.833 0.500
0.667 0.167 0.500
0.833 0.667 0.500
0.110 0.610 0.000
0.390 0.110 0.000
0.610 0.890 0.000
0.890 0.390 0.000
```

Properties
* total magnetic moment: 0.00 μB per cell
* electronic total energy: -5.750 eV/atom
* space group: No. 127
* formation energy: -0.091 eV per atom
* energy above the most stable polymorph in this dataset: 0 meV/atom

=====

No. 6
The following is a DFT calculation (PBE) of a relaxed structure of LaHo12Co6.

Geometry as POSCAR:
```
LaHo12Co6
1.0
-4.876 4.876 4.876
4.876 -4.876 4.876
4.876 4.876 -4.876
La Ho Co
1 12 6
Direct
0.000 0.000 0.000
0.116 0.310 0.806
0.194 0.504 0.310
0.194 0.884 0.690
0.310 0.194 0.504
0.310 0.806 0.116
0.496 0.690 0.806
0.504 0.310 0.194
0.690 0.194 0.884
0.690 0.806 0.496
0.806 0.116 0.310
0.806 0.496 0.690
0.884 0.690 0.194
0.113 0.500 0.613
0.387 0.887 0.500
0.500 0.387 0.887
0.500 0.613 0.113
0.613 0.113 0.500
0.887 0.500 0.387
```

Properties
* total magnetic moment: 0.00 μB per cell
* electronic total energy: -5.536 eV/atom
* space group: No. 204
* formation energy: -0.141 eV per atom

=====

Copy entry 6 word for word.
The following is a DFT calculation (PBE) of a relaxed structure of LaHo12Co6.

Geometry as POSCAR:
```
LaHo12Co6
1.0
-4.876 4.876 4.876
4.876 -4.876 4.876
4.876 4.876 -4.876
La Ho Co
1 12 6
Direct
0.000 0.000 0.000
0.116 0.310 0.806
0.194 0.504 0.310
0.194 0.884 0.690
0.310 0.194 0.504
0.310 0.806 0.116
0.496 0.690 0.806
0.504 0.310 0.194
0.690 0.194 0.884
0.690 0.806 0.496
0.806 0.116 0.310
0.806 0.496 0.690
0.884 0.690 0.194
0.113 0.500 0.613
0.387 0.887 0.500
0.500 0.387 0.887
0.500 0.613 0.113
0.613 0.113 0.500
0.887 0.500 0.387
```

Properties
* total magnetic moment: 0.00 μB per cell
* electronic total energy: -5.536 eV/atom
* space group: No. 204
* formation energy: -0.141 eV per atom

=====

> Which of these has the highest formation energy?

number 4